No. 1
First-principles (PBE-GGA) data for Tb4YGe4 after structural relaxation, as listed in Alexandria via LeMat-Bulk.

Structure (POSCAR):
```
Tb4YGe4
1.0
9.130 0.000 0.000
0.000 9.130 0.000
0.000 0.000 5.864
Tb Y Ge
8 2 8
Direct
0.076 0.658 0.134
0.158 0.924 0.634
0.342 0.576 0.634
0.424 0.842 0.134
0.576 0.158 0.866
0.658 0.424 0.366
0.842 0.076 0.366
0.924 0.342 0.866
0.250 0.250 0.250
0.750 0.750 0.750
0.025 0.620 0.633
0.120 0.975 0.133
0.380 0.525 0.133
0.475 0.880 0.633
0.525 0.120 0.367
0.620 0.475 0.867
0.880 0.025 0.867
0.975 0.380 0.367
```

=====

No. 2
First-principles (PBE-GGA) data for Tb2YGe after structural relaxation, as listed in Alexandria via LeMat-Bulk.

Structure (POSCAR):
```
Tb2YGe
1.0
1.846 1.066 10.002
-1.846 1.066 10.002
0.000 -2.132 10.002
Tb Y Ge
2 1 1
Direct
0.233 0.233 0.233
0.767 0.767 0.767
0.000 0.000 0.000
0.500 0.500 0.500
```

=====

No. 3
First-principles (PBE-GGA) data for Tb2YZn2Ge2 after structural relaxation, as listed in Alexandria via LeMat-Bulk.

Structure (POSCAR):
```
Tb2YZn2Ge2
1.0
2.067 1.194 11.119
-2.067 1.194 11.119
0.000 -2.387 11.119
Tb Y Zn Ge
2 1 2 2
Direct
0.123 0.123 0.123
0.877 0.877 0.877
0.000 0.000 0.000
0.390 0.390 0.390
0.610 0.610 0.610
0.265 0.265 0.265
0.735 0.735 0.735
```

=====

no.,final energy (eV per atom),V (Å³/cell),formation energy from the elements (eV/f.u.)
1,-5.423,488.8,-5.36
2,-5.302,118.1,-0.87
3,-4.391,164.6,-3.23